A plane-wave DFT calculation with PBE+U was carried out for an optimized crystal structure of Li5Cu2Ni3O10.

Unit cell a=5.0545 b=5.2179 c=8.1368 alpha=100.29 beta=95.66 gamma=108.89
Closest atoms and distances in Å follow each position.
Positions (direct):
Li 0.0000 0.0000 0.0000  2 O 1.88
Li 0.3444 0.1550 0.7313  4 O 2.00-2.11
Li 0.4371 0.7201 0.9570  5 O 1.98-2.16
Li 0.5629 0.2799 0.0430  5 O 1.98-2.16
Li 0.6556 0.8450 0.2687  4 O 2.00-2.11
Cu 0.0689 0.6528 0.2107  4 O 1.82-1.99
Cu 0.9311 0.3472 0.7893  4 O 1.82-1.99
Ni 0.0000 0.5000 0.5000  4 O 1.85-1.99
Ni 0.4029 0.2447 0.3591  5 O 1.97-2.17
Ni 0.5971 0.7553 0.6409  5 O 1.97-2.17
O 0.0087 0.0826 0.4339  1 O 1.49
O 0.2052 0.6161 0.7171  1 Ni 1.85, 1 Cu 1.85, 1 Li 2.06
O 0.2152 0.3216 0.9345  1 Cu 1.82, 4 Li 1.88-2.00
O 0.3375 0.9475 0.1567  1 Cu 1.85, 1 Ni 1.97, 2 Li 2.04
O 0.3412 0.6123 0.3905  3 Ni 1.99-2.17, 1 Cu 1.99, 1 Li 2.11
O 0.6588 0.3877 0.6095  3 Ni 1.99-2.17, 1 Cu 1.99, 1 Li 2.11
O 0.6625 0.0525 0.8433  1 Cu 1.85, 1 Ni 1.97, 2 Li 2.04
O 0.7848 0.6784 0.0655  1 Cu 1.82, 4 Li 1.88-2.00
O 0.7948 0.3839 0.2829  1 Ni 1.85, 1 Cu 1.85, 1 Li 2.06
O 0.9913 0.9174 0.5661  1 O 1.49

Calculated values
- SG = No. 2
- relative energy among the computed polymorphs (meV per atom) = 78
- electronic total energy (eV/atom) = -4.839